Crystalline SiSeOF2 at its relaxed geometry. Source: the Alexandria database, functional PBE.

electronic total energy	-4.56	eV per atom
density	4.2	g/cm³

Geometry as POSCAR:
```
SiSeOF2
1.0
4.372 0.000 0.000
0.000 4.372 0.000
0.000 0.000 3.303
Si O Se F
1 1 1 2
Direct
0.000 0.000 0.000
0.000 0.000 0.500
0.500 0.500 0.500
0.000 0.500 0.000
0.500 0.000 0.000
```

Crystalline SmSeO4F at its relaxed geometry. Source: the Alexandria database, functional PBE.

electronic total energy	-6.32	eV per atom
density	4.6	g/cm³

Geometry as POSCAR:
```
SmSeO4F
1.0
-0.948 -4.943 3.180
2.575 -4.285 -3.232
5.979 -0.869 3.196
Sm Se O F
2 2 8 2
Direct
0.206 0.206 0.879
0.794 0.794 0.121
0.650 0.650 0.721
0.350 0.350 0.279
0.243 0.243 0.515
0.757 0.757 0.485
0.131 0.481 0.145
0.528 0.528 0.265
0.519 0.869 0.855
0.481 0.131 0.145
0.472 0.472 0.735
0.869 0.519 0.855
0.021 0.021 0.174
0.979 0.979 0.826
```

Crystalline SnSeO2F at its relaxed geometry. Source: the Alexandria database, functional PBE.

electronic total energy	-4.46	eV per atom
density	5.5	g/cm³

Geometry as POSCAR:
```
SnSeO2F
1.0
3.964 0.000 0.000
0.000 3.964 0.000
0.000 0.000 4.795
O Sn Se F
2 1 1 1
Direct
0.000 0.500 0.000
0.500 0.000 0.000
0.500 0.500 0.500
0.000 0.000 0.000
0.000 0.000 0.500
```

> The lowest density belongs to which entry?

SiSeOF2

> Which value of electronic total energy does entry 3 give?

-4.46 eV per atom